Crystalline Na2ErCd at its relaxed geometry. Source: the Alexandria database, functional PBE.

abc: 3.335 3.335 12.458
angles: 82.31 82.31 60.00
Fractional positions:
Na: 0.091 0.091 0.727
Na: 0.909 0.909 0.273
Cd: 0.500 0.500 0.500
Er: 0.000 0.000 0.000

Summary:
**Raw total energy**: -1.844 eV per atom
**Total moment**: 0.00 μB per cell
**ΔE_f**: 184.6 meV per atom
**Volume**: 29.6 Å³ per atom
**Space-group type**: R-3m

***

Crystalline NaErCd at its relaxed geometry. Source: the Alexandria database, functional PBE.

abc: 3.387 3.473 16.812
angles: 90.00 90.00 119.19
Fractional positions:
Cd: 0.609 0.218 0.000
Cd: 0.281 0.561 0.500
Na: 0.604 0.209 0.340
Na: 0.604 0.209 0.660
Er: 0.284 0.568 0.848
Er: 0.284 0.568 0.152

Summary:
**Raw total energy**: -2.204 eV per atom
**Total moment**: 0.00 μB per cell
**ΔE_f**: 61.7 meV per atom
**Volume**: 28.8 Å³ per atom
**Space-group type**: Amm2

***

Crystalline NaErCd4 at its relaxed geometry. Source: the Alexandria database, functional PBE.

abc: 5.912 5.912 5.912
angles: 60.00 60.00 60.00
Fractional positions:
Na: 0.250 0.250 0.250
Cd: 0.625 0.625 0.125
Cd: 0.625 0.125 0.625
Cd: 0.625 0.625 0.625
Cd: 0.125 0.625 0.625
Er: 0.000 0.000 0.000

Summary:
**Raw total energy**: -1.709 eV per atom
**Total moment**: 0.00 μB per cell
**ΔE_f**: -119.1 meV per atom
**Volume**: 24.4 Å³ per atom
**Space-group type**: F-43m